1.
## NdZn6Ni6 (GGA-PBE)

Data for crystalline NdZn6Ni6 at its relaxed geometry.

POSCAR file:
```
NdZn6Ni6
1.0
4.970 0.000 0.000
2.485 6.035 0.026
2.485 0.170 6.033
Nd Zn Ni
1 6 6
Direct
0.000 0.000 0.000
0.352 0.648 0.648
0.648 0.352 0.352
0.000 0.345 0.655
0.000 0.655 0.345
0.294 0.206 0.206
0.706 0.794 0.794
0.000 0.500 0.000
0.500 0.500 0.000
0.000 0.000 0.500
0.500 0.000 0.500
0.500 0.768 0.232
0.500 0.232 0.768
```

Output
ΔE_f: -0.2802 eV/atom
Spin magnetization: 0.000 Bohr magnetons per cell
Total DFT energy (no corrections): -3.903 eV per atom


2.
## RbTlCuO2 (GGA-PBE)

Data for crystalline RbTlCuO2 at its relaxed geometry.

POSCAR file:
```
RbTlCuO2
1.0
-3.802 2.638 0.246
-4.002 -5.559 -2.249
1.103 0.906 7.353
Rb Tl Cu O
2 2 2 4
Direct
0.243 0.750 0.500
0.757 0.250 0.500
0.500 0.750 0.000
0.500 0.250 0.000
0.000 0.000 0.000
0.000 0.500 0.000
0.743 0.895 0.791
0.743 0.605 0.209
0.257 0.395 0.791
0.257 0.105 0.209
```

Output
Spin magnetization: 1.104 Bohr magnetons per cell
Total DFT energy (no corrections): -4.177 eV per atom
Formation energy without anion corrections: -0.7074 eV per atom


3.
## Tb3In (GGA-PBE)

Data for crystalline Tb3In at its relaxed geometry.

POSCAR file:
```
Tb3In
1.0
4.776 0.000 0.000
0.000 4.776 0.000
-2.388 -2.388 5.026
Tb In
3 1
Direct
0.750 0.250 0.500
0.250 0.750 0.500
0.500 0.500 0.000
0.000 0.000 0.000
```

Output
ΔE_f: -0.2382 eV/atom
Spin magnetization: 0.002 Bohr magnetons per cell
Total DFT energy (no corrections): -4.395 eV per atom


4.
## CaSi2As (GGA-PBE)

Data for crystalline CaSi2As at its relaxed geometry.

POSCAR file:
```
CaSi2As
1.0
-3.077 1.235 -1.553
-1.089 -3.483 -0.292
-2.642 0.363 5.521
As Ca Si
1 1 2
Direct
0.500 0.500 0.250
0.500 0.500 0.750
0.000 0.000 0.061
0.000 0.000 0.439
```

Output
Spin magnetization: 0.000 Bohr magnetons per cell
Total DFT energy (no corrections): -4.415 eV per atom
Formation energy without anion corrections: -0.0403 eV per atom


5.
## ErTm3Cd6 (GGA-PBE)

Data for crystalline ErTm3Cd6 at its relaxed geometry.

POSCAR file:
```
ErTm3Cd6
1.0
5.107 0.000 0.000
0.000 8.708 -2.605
0.000 0.238 10.922
Er Tm Cd
2 6 12
Direct
0.250 0.946 0.606
0.750 0.054 0.394
0.250 0.533 0.395
0.750 0.467 0.605
0.250 0.351 0.795
0.750 0.649 0.205
0.250 0.758 0.002
0.750 0.242 0.998
0.250 0.450 0.096
0.750 0.550 0.904
0.250 0.144 0.195
0.750 0.856 0.805
0.250 0.657 0.706
0.750 0.343 0.294
0.250 0.243 0.498
0.750 0.757 0.502
0.250 0.848 0.306
0.750 0.152 0.694
0.250 0.052 0.900
0.750 0.948 0.100
```

Output
ΔE_f: -0.2733 eV/atom
Spin magnetization: 0.000 Bohr magnetons per cell
Total DFT energy (no corrections): -2.620 eV per atom


6.
## RbCuSn6 (GGA-PBE)

Data for crystalline RbCuSn6 at its relaxed geometry.

POSCAR file:
```
RbCuSn6
1.0
4.685 0.000 0.000
0.000 4.685 0.000
0.000 0.000 11.262
Rb Cu Sn
1 1 6
Direct
0.000 0.000 0.000
0.000 0.000 0.500
0.500 0.000 0.648
0.000 0.500 0.648
0.500 0.500 0.175
0.500 0.500 0.825
0.000 0.500 0.352
0.500 0.000 0.352
```

Output
ΔE_f: -0.0349 eV/atom
Spin magnetization: 0.000 Bohr magnetons per cell
Total DFT energy (no corrections): -3.670 eV per atom


7.
## DyThIr (GGA-PBE)

Data for crystalline DyThIr at its relaxed geometry.

POSCAR file:
```
DyThIr
1.0
-5.658 -0.103 -2.559
-1.365 -2.308 3.112
-0.186 4.097 0.246
Ir Th Dy
1 1 1
Direct
0.331 0.333 0.667
0.092 0.000 0.000
0.577 0.667 0.333
```

Output
ΔE_f: -0.5629 eV/atom
Spin magnetization: 0.001 Bohr magnetons per cell
Total DFT energy (no corrections): -7.524 eV per atom
Offset from the most stable computed form: 28.4 kJ/mol of formula units


8.
## Ac6CuIr4 (GGA-PBE)

Data for crystalline Ac6CuIr4 at its relaxed geometry.

POSCAR file:
```
Ac6CuIr4
1.0
4.351 0.000 0.000
-2.175 7.174 0.000
0.000 0.000 21.962
Ac Cu Ir
12 2 8
Direct
0.500 0.000 0.000
0.500 0.000 0.500
0.037 0.075 0.342
0.963 0.925 0.658
0.963 0.925 0.842
0.037 0.075 0.158
0.770 0.540 0.418
0.230 0.460 0.582
0.230 0.460 0.918
0.770 0.540 0.082
0.318 0.637 0.250
0.682 0.363 0.750
0.654 0.307 0.250
0.346 0.693 0.750
0.864 0.727 0.544
0.402 0.804 0.131
0.136 0.273 0.456
0.598 0.196 0.869
0.864 0.727 0.956
0.136 0.273 0.044
0.598 0.196 0.631
0.402 0.804 0.369
```

Output
ΔE_f: -0.4981 eV/atom
Spin magnetization: 0.000 Bohr magnetons per cell
Total DFT energy (no corrections): -6.334 eV per atom